# CoB3Ir3, optimized geometry, DFT PBE-GGA
# Formation enthalpy at 0 K: -196 meV/atom
# Total moment: 0.0 μB/cell
data_CoB3Ir3
_space_group_name_H-M_alt 'R -3'
_space_group_IT_number 148
_space_group_name_Hall '-R 3'
_cell_length_a 6.2579
_cell_length_b 6.2579
_cell_length_c 13.6297
_cell_angle_alpha 90.00
_cell_angle_beta 90.00
_cell_angle_gamma 120.00
loop_
_atom_site_label
_atom_site_type_symbol
_atom_site_fract_x
_atom_site_fract_y
_atom_site_fract_z
Co1 Co 0.0000 0.0000 0.1728
B1 B 0.0100 0.3795 0.4330
Ir1 Ir 0.0131 0.2998 0.6005